Record 1
## Er2Pu3TaN6 (PBE)

Data for Er2Pu3TaN6 after structural relaxation.

Cell lengths 5.8714, 5.8714, 5.8654 Å; angles 99.59, 99.59, 119.93 degrees
Fractional coordinates of all 12 atoms:
1 Er 0.1666 0.8334 0.0000
2 Er 0.8334 0.1666 0.0000
3 Pu 0.0000 0.0000 0.5000
4 Pu 0.3320 0.6680 0.5000
5 Pu 0.6680 0.3320 0.5000
6 Ta 0.5000 0.5000 0.0000
7 N 0.1125 0.4222 0.7669
8 N 0.2682 0.2682 0.2376
9 N 0.4222 0.1125 0.7669
10 N 0.5778 0.8875 0.2331
11 N 0.7318 0.7318 0.7624
12 N 0.8875 0.5778 0.2331

Record 2
## ErPu2TaN4 (PBE)

Data for ErPu2TaN4 after structural relaxation.

Cell lengths 5.8174, 3.3415, 5.8380 Å; angles 90.00, 109.08, 90.00 degrees
Fractional coordinates of all 8 atoms:
1 Er 0.0000 0.0000 0.0000
2 Pu 0.0000 0.5000 0.5000
3 Pu 0.5000 0.0000 0.5000
4 Ta 0.5000 0.5000 0.0000
5 N 0.2659 0.5000 0.2331
6 N 0.2754 0.0000 0.7753
7 N 0.7246 0.0000 0.2247
8 N 0.7341 0.5000 0.7669

Calculated values (Å³/f.u.) of calculated volume for the records, taken in order: 165, 107.
Calculated values (eV/atom) of energy relative to the elements, uncorrected for the records, taken in order: -1.4183, -1.3661.